Record 1
The following is a PBE-GGA calculation of an optimized crystal structure of Na3AcPm2S6, from the Alexandria database.

Lattice parameters (Å, degrees): 7.2664 7.2664 7.1174 99.79 99.79 120.02
Element x y z (fractional)
S 0.2677 0.2677 0.7640
S 0.0778 0.4240 0.2334
S 0.5760 0.9222 0.7666
S 0.7323 0.7323 0.2360
S 0.4240 0.0778 0.2334
S 0.9222 0.5760 0.7666
Na 0.5000 0.5000 0.5000
Na 0.8318 0.1682 0.5000
Na 0.1682 0.8318 0.5000
Pm 0.6667 0.3333 0.0000
Pm 0.3333 0.6667 0.0000
Ac 0.0000 0.0000 0.0000

ΔE_f (raw): -2090 kJ/mol of formula units
Space group: C2/m, No. 12

---

Record 2
The following is a PBE-GGA calculation of an optimized crystal structure of Mg2Sn2Rh, from the Alexandria database.

Lattice parameters (Å, degrees): 4.3934 4.3934 11.9420 100.60 100.60 90.00
Element x y z (fractional)
Mg 0.1767 0.1767 0.3533
Mg 0.8233 0.8233 0.6467
Mg 0.5733 0.0733 0.1467
Mg 0.9267 0.4267 0.8533
Sn 0.6851 0.6851 0.3703
Sn 0.0649 0.5649 0.1297
Sn 0.3149 0.3149 0.6297
Sn 0.4351 0.9351 0.8703
Rh 0.5000 0.5000 0.0000
Rh 0.2500 0.7500 0.5000

Space group: I4_1/amd, No. 141
Formation energy from the elements: -0.30 eV per atom

---

Record 3
The following is a PBE-GGA calculation of an optimized crystal structure of ScTlBi2, from the Alexandria database.

Lattice parameters (Å, degrees): 4.6984 4.6984 7.3637 71.40 71.40 60.00
Element x y z (fractional)
Bi 0.2676 0.2676 0.1972
Bi 0.0685 0.0685 0.7945
Tl 0.4976 0.4976 0.5072
Sc 0.6663 0.6663 0.0011

ΔE to the lowest computed polymorph: 0.101 eV per atom
Space group: R3m, No. 160
Formation energy from the elements: -0.15 eV per atom

---

Record 4
The following is a PBE-GGA calculation of an optimized crystal structure of BeRe3, from the Alexandria database.

Lattice parameters (Å, degrees): 4.4200 4.6472 5.3535 90.00 90.00 90.00
Element x y z (fractional)
Re 0.0000 0.6566 0.5000
Re 0.5000 0.3434 0.0000
Re 0.0000 0.1762 0.7491
Re 0.5000 0.8238 0.2491
Re 0.5000 0.8238 0.7509
Re 0.0000 0.1762 0.2509
Be 0.5000 0.3322 0.5000
Be 0.0000 0.6678 0.0000

ΔE to the lowest computed polymorph: 0.127 eV per atom
Space group: Pmmn, No. 59
Formation energy from the elements: 0.06 eV per atom

---

Record 5
The following is a PBE-GGA calculation of an optimized crystal structure of Cs2Tl2Se3, from the Alexandria database.

Lattice parameters (Å, degrees): 4.8051 8.3901 8.8575 117.56 105.74 90.00
Element x y z (fractional)
Se 0.7831 0.3209 0.5661
Se 0.0000 0.0000 0.0000
Se 0.2169 0.6791 0.4339
Cs 0.3997 0.1679 0.7995
Cs 0.6003 0.8321 0.2005
Tl 0.8283 0.6977 0.6566
Tl 0.1717 0.3023 0.3434

ΔE to the lowest computed polymorph: 0.000 eV per atom
ΔE_f (raw): -484 kJ/mol of formula units
Space group: C2/m, No. 12

---

Record 6
The following is a PBE-GGA calculation of an optimized crystal structure of Pd3PtO, from the Alexandria database.

Lattice parameters (Å, degrees): 4.8835 4.8835 4.8835 90.00 90.00 90.00
Element x y z (fractional)
Pd 0.5000 0.0000 0.0000
Pd 0.0000 0.5000 0.0000
Pd 0.0000 0.0000 0.5000
Pt 0.0000 0.0000 0.0000
O 0.5000 0.5000 0.5000

ΔE_f (raw): 751 kJ/mol of formula units
Space group: Pm-3m, No. 221

---

Repeat the fifth record exactly.
The following is a PBE-GGA calculation of an optimized crystal structure of Cs2Tl2Se3, from the Alexandria database.

Lattice parameters (Å, degrees): 4.8051 8.3901 8.8575 117.56 105.74 90.00
Element x y z (fractional)
Se 0.7831 0.3209 0.5661
Se 0.0000 0.0000 0.0000
Se 0.2169 0.6791 0.4339
Cs 0.3997 0.1679 0.7995
Cs 0.6003 0.8321 0.2005
Tl 0.8283 0.6977 0.6566
Tl 0.1717 0.3023 0.3434

ΔE to the lowest computed polymorph: 0.000 eV per atom
ΔE_f (raw): -484 kJ/mol of formula units
Space group: C2/m, No. 12